La5PrSm2: relaxed, GGA-PBE.

Computed properties:
symmetry = No. 63
E_form = 105 meV/atom
crystal system = orthorhombic
distance to the lowest polymorph of the same formula = 63 kJ/mol of formula units
N(E_F) = 24.6 states/eV per cell
total magnetic moment = 0.0 μB/cell

Cell and atoms, written as CIF:
```
data_La5PrSm2
_space_group_name_H-M_alt 'P 1'
_space_group_IT_number 1
_space_group_name_Hall 'P 1'
_cell_length_a 5.724
_cell_length_b 6.749
_cell_length_c 16.800
_cell_angle_alpha 90.00
_cell_angle_beta 90.00
_cell_angle_gamma 115.09
loop_
_atom_site_label
_atom_site_type_symbol
_atom_site_fract_x
_atom_site_fract_y
_atom_site_fract_z
La1 La 0.928 0.856 0.905
La2 La 0.928 0.856 0.595
La3 La 0.380 0.760 0.450
La4 La 0.380 0.760 0.050
La5 La 0.535 0.069 0.250
La6 La 0.465 0.931 0.750
La7 La 0.620 0.240 0.550
La8 La 0.620 0.240 0.950
La9 La 0.072 0.144 0.095
La10 La 0.072 0.144 0.405
Pr1 Pr 0.744 0.488 0.750
Pr2 Pr 0.256 0.512 0.250
Sm1 Sm 0.773 0.546 0.367
Sm2 Sm 0.773 0.546 0.133
Sm3 Sm 0.227 0.454 0.633
Sm4 Sm 0.227 0.454 0.867
```

***

NbGaI2: relaxed, GGA-PBE.

Computed properties:
symmetry = No. 122
crystal system = tetragonal
distance to the lowest polymorph of the same formula = 0 kJ/mol of formula units
N(E_F) = 7.3 states/eV per cell
total magnetic moment = 4.5 μB/cell

Cell and atoms, written as CIF:
```
data_NbGaI2
_space_group_name_H-M_alt 'P 1'
_space_group_IT_number 1
_space_group_name_Hall 'P 1'
_cell_length_a 10.281
_cell_length_b 10.281
_cell_length_c 7.752
_cell_angle_alpha 48.46
_cell_angle_beta 48.46
_cell_angle_gamma 90.00
loop_
_atom_site_label
_atom_site_type_symbol
_atom_site_fract_x
_atom_site_fract_y
_atom_site_fract_z
I1 I 0.774 0.125 0.250
I2 I 0.976 0.625 0.250
I3 I 0.375 0.226 0.750
I4 I 0.875 0.024 0.750
Nb1 Nb 0.000 0.000 0.000
Nb2 Nb 0.750 0.250 0.500
Ga1 Ga 0.500 0.500 0.000
Ga2 Ga 0.250 0.750 0.500
```